No. 1
Compound: Tc2Hg
Source: the Alexandria database
Functional: PBE
Structure: optimized geometry

Calculated values
Symmetry = No. 187
Calculated formation energy = 0.450 eV per atom
Total magnetic moment = 0.0 Bohr magnetons per cell
Excess energy over the best structure of this formula in the dataset = 0.199 eV/atom

Cell: 2.860 2.860 14.083 Å, 90.00 90.00 120.00°
Atoms (fractional coordinates):
Tc: 0.000 0.000 0.000
Tc: 0.000 0.000 0.352
Tc: 0.000 0.000 0.648
Tc: 0.333 0.667 0.500
Hg: 0.333 0.667 0.175
Hg: 0.333 0.667 0.825

=====

No. 2
Compound: Tc4Hg
Source: the Alexandria database
Functional: PBE
Structure: optimized geometry

Calculated values
Symmetry = No. 139
Calculated formation energy = 0.480 eV per atom
Total magnetic moment = 0.0 Bohr magnetons per cell
Excess energy over the best structure of this formula in the dataset = 0.137 eV/atom

Cell: 6.139 6.139 6.139 Å, 141.45 141.45 55.65°
Atoms (fractional coordinates):
Tc: 0.114 0.114 0.000
Tc: 0.250 0.750 0.500
Tc: 0.750 0.250 0.500
Tc: 0.886 0.886 0.000
Hg: 0.500 0.500 0.000

=====

No. 3
Compound: Tc2Hg
Source: the Alexandria database
Functional: PBE
Structure: optimized geometry

Calculated values
Symmetry = No. 194
Calculated formation energy = 0.547 eV per atom
Total magnetic moment = 0.0 Bohr magnetons per cell
Excess energy over the best structure of this formula in the dataset = 0.295 eV/atom

Cell: 4.390 4.390 6.117 Å, 90.00 90.00 120.00°
Atoms (fractional coordinates):
Tc: 0.333 0.667 0.024
Tc: 0.333 0.667 0.476
Tc: 0.667 0.333 0.524
Tc: 0.667 0.333 0.976
Hg: 0.000 0.000 0.250
Hg: 0.000 0.000 0.750